Entry 1:
DFT (GGA-PBE) results for a relaxed TlMo3N crystal.

Energy above the most stable polymorph in this dataset ... 0.0 meV per atom
Formation energy from raw total energies ... 144 meV per atom
Space-group type ... Pm-3m, No. 221
Raw total energy ... -8.4935 eV/atom
DOS at the Fermi energy ... 4.08 states/eV/f.u.
Crystal system ... cubic

Unit cell a=4.2098 b=4.2098 c=4.2098 alpha=90.00 beta=90.00 gamma=90.00
Closest atoms and distances in Å follow each position.
Fractional coordinates of all 5 atoms:
N  0.0000  0.0000  0.0000  6 Mo 2.10
Mo  0.0000  0.0000  0.5000  2 N 2.10
Mo  0.5000  0.0000  0.0000  2 N 2.10
Mo  0.0000  0.5000  0.0000  2 N 2.10
Tl  0.5000  0.5000  0.5000  12 Mo 2.98

---

Entry 2:
DFT (GGA-PBE) results for a relaxed GdZnSnPd crystal.

Space-group type ... F-43m, No. 216
Raw total energy ... -6.7478 eV/atom
DOS at the Fermi energy ... 2.36 states/eV/f.u.
Energy relative to the elements ... -610 meV/atom
Crystal system ... cubic

Unit cell a=4.8648 b=4.8648 c=4.8648 alpha=60.00 beta=60.00 gamma=60.00
Closest atoms and distances in Å follow each position.
Fractional coordinates of all 4 atoms:
Sn  0.2500  0.2500  0.2500  4 Pd 2.98, 4 Zn 2.98
Pd  0.0000  0.0000  0.0000  4 Gd 2.98, 4 Sn 2.98
Gd  0.7500  0.7500  0.7500  4 Zn 2.98, 4 Pd 2.98
Zn  0.5000  0.5000  0.5000  4 Gd 2.98, 4 Sn 2.98

---

Entry 3:
DFT (GGA-PBE) results for a relaxed LiPuAs2 crystal.

Energy above the most stable polymorph in this dataset ... 215.2 meV per atom
Space-group type ... P4/mmm, No. 123
Raw total energy ... -6.9549 eV/atom
DOS at the Fermi energy ... 9.95 states/eV/f.u.
Energy relative to the elements ... -569 meV/atom
Crystal system ... tetragonal

Unit cell a=3.5968 b=3.5968 c=6.0138 alpha=90.00 beta=90.00 gamma=90.00
Closest atoms and distances in Å follow each position.
Fractional coordinates of all 4 atoms:
Pu  0.5000  0.5000  0.0000  2 Li 3.01, 8 As 3.06
As  0.0000  0.0000  0.2827  1 As 2.61, 4 Li 2.86
As  0.0000  0.0000  0.7173  1 As 2.61, 4 Li 2.86
Li  0.5000  0.5000  0.5000  8 As 2.86, 2 Pu 3.01

---

Number 1: calculated density 11.3 g cm⁻³. Number 2: calculated density 9.1 g cm⁻³. Number 3: calculated density 8.6 g cm⁻³.